10
Lattice="4.0895 0.0000 0.0000 0.0000 4.0895 0.0000 0.0000 0.0000 10.0913" Properties=species:S:1:pos:R:3 comment="SmCoCuGe2 (PBE-GGA, optimized geometry)" magmom_total_mub_per_fu=0.8 e_tot_ev_per_atom=-5.470 pbc="T T T"
Sm 0.0000 0.0000 0.0000
Sm 2.0447 2.0447 5.0456
Co 0.0000 2.0447 2.5228
Co 2.0447 0.0000 7.5685
Cu 0.0000 2.0447 7.5685
Cu 2.0447 0.0000 2.5228
Ge 0.0000 0.0000 3.7645
Ge 0.0000 0.0000 6.3267
Ge 2.0447 2.0447 1.2811
Ge 2.0447 2.0447 8.8102